First-principles (PBE-GGA) data for LaSb2P after structural relaxation, as listed in Alexandria via LeMat-Bulk.

abc: 4.3461 4.3461 21.4455
angles: 90.00 90.00 120.00
Space group R3m (No. 160, hexagonal axes)
Unique sites:
La 0.0000 0.0000 0.0000
Sb 0.0000 0.0000 0.2289
Sb 0.0000 0.0000 0.4812
P 0.0000 0.0000 0.7350

Summary:
total moment = 0.000 μB per atom
ρ = 5.87 g/cm3
formation energy from raw total energies = -0.5453 eV per atom